A geometry-optimized Ta2ReTe structure, computed with PBE-GGA.

a = 3.361 Å, b = 4.594 Å, c = 9.206 Å
α = 90.00°, β = 90.00°, γ = 90.00°
Fractional coordinates of all 8 atoms:
Ta (0.000, 0.000, 0.245)
Ta (0.000, 0.000, 0.755)
Ta (0.500, 0.500, 0.255)
Ta (0.500, 0.500, 0.745)
Re (0.000, 0.500, 0.500)
Re (0.500, 0.000, 0.000)
Te (0.000, 0.500, 0.000)
Te (0.500, 0.000, 0.500)

Total energy (eV per atom): -9.5634
Formation energy from raw total energies (eV per atom): 0.260
Space group: No. 71


A geometry-optimized TaReTe2 structure, computed with PBE-GGA.

a = 4.588 Å, b = 4.588 Å, c = 17.219 Å
α = 90.00°, β = 90.00°, γ = 90.00°
Fractional coordinates of all 16 atoms:
Ta (0.000, 0.000, 0.000)
Ta (0.000, 0.500, 0.250)
Ta (0.500, 0.000, 0.750)
Ta (0.500, 0.500, 0.500)
Re (0.000, 0.000, 0.500)
Re (0.000, 0.500, 0.750)
Re (0.500, 0.000, 0.250)
Re (0.500, 0.500, 0.000)
Te (0.240, 0.250, 0.625)
Te (0.250, 0.740, 0.875)
Te (0.250, 0.760, 0.375)
Te (0.260, 0.250, 0.125)
Te (0.740, 0.750, 0.125)
Te (0.750, 0.240, 0.375)
Te (0.750, 0.260, 0.875)
Te (0.760, 0.750, 0.625)

ΔE to the lowest computed polymorph (meV per atom): 740.1
Total energy (eV per atom): -6.8936
Formation energy from raw total energies (eV per atom): 0.752
Space group: No. 122


A geometry-optimized TaRe2Te structure, computed with PBE-GGA.

a = 4.569 Å, b = 4.569 Å, c = 3.274 Å
α = 90.00°, β = 90.00°, γ = 90.00°
Fractional coordinates of all 4 atoms:
Ta (0.000, 0.000, 0.000)
Re (0.000, 0.500, 0.500)
Re (0.500, 0.000, 0.500)
Te (0.500, 0.500, 0.000)

Total energy (eV per atom): -9.5855
Formation energy from raw total energies (eV per atom): 0.387
Space group: No. 123


Q: total energy of number 1 (Ta2ReTe)?
A: -9.5634 eV per atom


Q: Among the records above, which one has the lowest total energy?
A: TaRe2Te


Q: Which value of total energy does entry 1 give?
A: -9.5634 eV per atom


Q: Among the records above, which one has the lowest total energy?
A: TaRe2Te